# LaSbAsPd2, optimized geometry, DFT PBE-GGA
# - E: -0.423 Ry per atom
data_LaSbAsPd2
_cell_length_a 4.597
_cell_length_b 4.597
_cell_length_c 10.149
_cell_angle_alpha 90.00
_cell_angle_beta 90.00
_cell_angle_gamma 90.00
_symmetry_space_group_name_H-M 'P 4/n m m'
_symmetry_Int_Tables_number 129
loop_
_symmetry_equiv_pos_as_xyz
'x,y,z'
'-x,-y,-z'
'-y+1/2,x,z'
'y+1/2,-x,-z'
'-x+1/2,-y+1/2,z'
'x+1/2,y+1/2,-z'
'y,-x+1/2,z'
'-y,x+1/2,-z'
'x+1/2,-y,-z'
'-x+1/2,y,z'
'-y,-x,-z'
'y,x,z'
'-x,y+1/2,-z'
'x,-y+1/2,z'
'y+1/2,x+1/2,-z'
'-y+1/2,-x+1/2,z'
loop_
_atom_site_label
_atom_site_type_symbol
_atom_site_fract_x
_atom_site_fract_y
_atom_site_fract_z
_atom_site_occupancy
La1 La 0.250 0.250 0.237 1
Sb1 Sb 0.250 0.250 0.636 1
As1 As 0.250 0.750 0.000 1
Pd1 Pd 0.250 0.250 0.893 1
Pd2 Pd 0.250 0.750 0.500 1

# Y2ErCu4Sn2Ge2, optimized geometry, DFT PBE-GGA
# - Energy relative to the lowest polymorph listed for this composition: 62 meV per atom
# - E: -0.370 Ry per atom
data_Y2ErCu4Sn2Ge2
_cell_length_a 4.297
_cell_length_b 6.924
_cell_length_c 14.300
_cell_angle_alpha 90.00
_cell_angle_beta 90.00
_cell_angle_gamma 90.00
_symmetry_space_group_name_H-M 'I m m m'
_symmetry_Int_Tables_number 71
_symmetry_space_group_name_Hall '-I 2 2'
loop_
_atom_site_label
_atom_site_type_symbol
_atom_site_fract_x
_atom_site_fract_y
_atom_site_fract_z
_atom_site_occupancy
Y1 Y 0.000 0.000 0.135 1
Er1 Er 0.000 0.500 0.000 1
Cu1 Cu 0.000 0.189 0.322 1
Sn1 Sn 0.000 0.297 0.500 1
Ge1 Ge 0.000 0.500 0.215 1

# Zr2TeCSe, optimized geometry, DFT PBE-GGA
# - E: -0.551 Ry per atom
data_Zr2TeCSe
_cell_length_a 3.5185
_cell_length_b 3.5185
_cell_length_c 10.4072
_cell_angle_alpha 90.00
_cell_angle_beta 90.00
_cell_angle_gamma 120.00
_symmetry_space_group_name_H-M 'P 3 m 1'
_symmetry_Int_Tables_number 156
_symmetry_space_group_name_Hall 'P 3 -2"'
loop_
_atom_site_label
_atom_site_type_symbol
_atom_site_fract_x
_atom_site_fract_y
_atom_site_fract_z
_atom_site_occupancy
Zr1 Zr 0.0000 0.0000 0.0000 1
Zr2 Zr 0.3333 0.6667 0.2462 1
Te1 Te 0.0000 0.0000 0.4531 1
C1 C 0.6667 0.3333 0.1293 1
Se1 Se 0.3333 0.6667 0.8319 1

# RbZrAgTe2S, optimized geometry, DFT PBE-GGA
# - Energy relative to the lowest polymorph listed for this composition: 111 meV per atom
# - E: -0.342 Ry per atom
data_RbZrAgTe2S
_cell_length_a 4.196
_cell_length_b 16.391
_cell_length_c 10.463
_cell_angle_alpha 90.00
_cell_angle_beta 90.00
_cell_angle_gamma 90.00
_symmetry_space_group_name_H-M 'C m c m'
_symmetry_Int_Tables_number 63
_symmetry_space_group_name_Hall '-C 2c 2'
loop_
_atom_site_label
_atom_site_type_symbol
_atom_site_fract_x
_atom_site_fract_y
_atom_site_fract_z
_atom_site_occupancy
Rb1 Rb 0.000 0.244 0.250 1
Zr1 Zr 0.000 0.500 0.000 1
Ag1 Ag 0.000 0.037 0.750 1
Te1 Te 0.000 0.127 0.530 1
S1 S 0.000 0.451 0.750 1

# ThBeHg, optimized geometry, DFT PBE-GGA
# - Energy relative to the lowest polymorph listed for this composition: 281 meV per atom
# - E: -0.258 Ry per atom
data_ThBeHg
_cell_length_a 6.773
_cell_length_b 6.773
_cell_length_c 6.773
_cell_angle_alpha 90.00
_cell_angle_beta 90.00
_cell_angle_gamma 90.00
_symmetry_space_group_name_H-M 'F -4 3 m'
_symmetry_Int_Tables_number 216
_symmetry_space_group_name_Hall 'F -4 2 3'
loop_
_atom_site_label
_atom_site_type_symbol
_atom_site_fract_x
_atom_site_fract_y
_atom_site_fract_z
_atom_site_occupancy
Th1 Th 0.000 0.000 0.000 1
Be1 Be 0.000 0.000 0.500 1
Hg1 Hg 0.250 0.250 0.750 1

Question: Which value of E does entry 5 give?
Answer: -0.258 Ry per atom

Please write out number 2 again, unchanged.
# Y2ErCu4Sn2Ge2, optimized geometry, DFT PBE-GGA
# - Energy relative to the lowest polymorph listed for this composition: 62 meV per atom
# - E: -0.370 Ry per atom
data_Y2ErCu4Sn2Ge2
_cell_length_a 4.297
_cell_length_b 6.924
_cell_length_c 14.300
_cell_angle_alpha 90.00
_cell_angle_beta 90.00
_cell_angle_gamma 90.00
_symmetry_space_group_name_H-M 'I m m m'
_symmetry_Int_Tables_number 71
_symmetry_space_group_name_Hall '-I 2 2'
loop_
_atom_site_label
_atom_site_type_symbol
_atom_site_fract_x
_atom_site_fract_y
_atom_site_fract_z
_atom_site_occupancy
Y1 Y 0.000 0.000 0.135 1
Er1 Er 0.000 0.500 0.000 1
Cu1 Cu 0.000 0.189 0.322 1
Sn1 Sn 0.000 0.297 0.500 1
Ge1 Ge 0.000 0.500 0.215 1

Question: Look up the E of the second one.
Answer: -0.370 Ry per atom

Question: The highest E belongs to which entry?
Answer: ThBeHg